# 1
Material: Cd3Sn5O12
Method: DFT, PBE
State: optimized geometry

```
Cd3Sn5O12
1.0
-8.026 -5.575 6.046
-1.888 -1.562 -11.228
10.386 -4.083 2.742
O Sn Cd
48 20 12
Cartesian
-5.279 -7.273 -4.556
2.041 -5.183 -0.192
-2.684 -7.270 3.229
-1.570 -6.037 -2.247
0.272 -4.801 -5.829
-5.406 -7.223 2.488
0.108 -3.624 3.016
2.562 -4.998 2.794
1.695 -8.724 7.004
-0.092 -6.928 0.410
-7.130 -7.058 -0.354
-0.797 -1.758 -3.737
-2.982 -4.352 4.017
-8.049 -6.135 -5.060
1.577 -3.364 -8.650
7.602 -4.162 -2.086
2.569 -8.736 3.693
-4.918 -5.516 -1.752
-1.223 -2.497 -9.444
3.882 -4.500 -2.998
0.199 -6.419 3.390
5.877 -3.997 -4.928
-4.049 -4.079 -4.438
0.363 -7.596 -5.455
-2.097 -2.484 -6.132
-5.573 -4.220 2.910
-0.682 -9.704 -1.507
1.154 -1.516 -0.933
3.453 -6.868 -6.456
1.044 -7.055 -2.545
-2.091 -6.222 -5.234
-3.323 -8.481 -2.377
3.451 -8.192 -0.390
3.789 -7.450 -3.716
-1.106 -7.857 6.211
5.390 -5.704 -0.687
1.269 -9.463 1.298
6.045 -7.000 -5.350
-0.573 -4.165 0.106
5.750 -3.947 2.117
3.155 -3.950 -5.668
-3.410 -6.720 0.559
0.563 -4.292 -2.849
8.521 -5.085 2.621
4.521 -7.141 1.999
-2.979 -3.028 -2.049
3.794 -2.739 -0.063
-3.318 -3.770 1.277
4.249 -2.822 -4.243
0.885 -2.303 -2.769
1.180 -4.829 4.394
3.777 -4.531 -0.985
2.832 -7.949 5.531
-0.414 -8.917 0.330
-2.184 -2.992 -0.197
-0.944 -0.781 -5.614
-2.361 -3.271 -7.970
-3.305 -6.689 -1.454
5.193 -2.042 1.371
-4.957 -3.569 -2.591
0.000 0.000 0.000
4.544 -5.348 2.920
-4.072 -5.872 -5.360
-1.004 -7.821 4.197
-4.013 -2.788 3.023
1.475 -3.399 -6.637
0.236 -5.610 -1.220
2.655 -8.229 -2.242
7.613 -4.660 0.348
-1.594 -5.406 2.000
5.134 -5.126 -7.012
2.065 -7.133 1.625
5.901 -5.943 -3.106
2.065 -5.814 -4.440
-7.141 -6.560 -2.787
-1.594 -4.088 -4.064
1.652 -3.120 1.136
-4.663 -6.094 4.573
-1.181 -8.100 -3.576
-5.430 -5.278 0.667
```

The total magnetic moment comes out at 0.00 Bohr magnetons per cell. The calculation puts the total energy at -5.425 eV/atom. The space group is Ia-3d. The raw formation energy comes out at -30.25 kcal/mol of atoms.

***

# 2
Material: YMn6Ge6
Method: DFT, PBE
State: optimized geometry

```
YMn6Ge6
1.0
-1.144 1.730 4.740
-6.442 -0.172 1.332
-0.523 -4.815 4.454
Y Ge Mn
1 6 6
Cartesian
0.000 0.000 0.000
-3.101 -0.529 5.091
-2.566 -3.212 3.377
-6.555 -2.990 7.979
-5.007 -2.728 5.434
-1.553 -0.267 2.546
-4.399 -1.774 2.409
-0.833 -1.543 4.597
-5.523 -0.476 4.488
-2.586 -2.780 6.038
-0.261 -2.407 2.227
-3.793 0.779 3.036
-3.221 -0.086 0.666
```

The total magnetic moment comes out at 11.55 Bohr magnetons per cell. Its distance to the lowest polymorph of the same formula is 0.002 eV/atom. The calculation puts the total energy at -7.172 eV/atom. The space group is Immm. For the energy of formation from the pure elements, the calculation gives -0.31 eV/atom.

***

# 3
Material: CoReIr3
Method: DFT, PBE
State: optimized geometry

```
CoReIr3
1.0
-2.133 -0.580 3.751
-0.754 -4.152 -1.071
3.720 -1.175 1.933
Ir Co Re
3 1 1
Cartesian
-1.066 -0.290 1.876
-0.377 -2.076 -0.536
1.860 -0.587 0.967
0.000 0.000 0.000
0.417 -2.954 2.307
```

The total magnetic moment comes out at 0.00 Bohr magnetons per cell. Its distance to the lowest polymorph of the same formula is 1.419 eV/atom. The calculation puts the total energy at -7.448 eV/atom. The space group is Pm-3m. For the energy of formation from the pure elements, the calculation gives 1.78 eV/atom.

***

# 4
Material: LiHPtSe
Method: DFT, PBE
State: optimized geometry

```
LiHPtSe
1.0
-0.849 -3.514 -1.801
2.684 2.044 -2.266
2.730 -0.490 3.587
Se H Li Pt
1 1 1 1
Cartesian
1.262 -2.449 -1.271
2.787 1.378 -1.961
1.983 -1.234 1.796
2.301 -0.086 -1.671
```

The total magnetic moment comes out at 0.00 Bohr magnetons per cell. Its distance to the lowest polymorph of the same formula is 0.016 eV/atom. The calculation puts the total energy at -4.109 eV/atom. The space group is P1.

***

# 5
Material: Na8CdIn2
Method: DFT, PBE
State: optimized geometry

```
Na8CdIn2
1.0
5.168 0.000 -1.484
-0.024 6.591 -0.084
-0.064 0.367 9.521
Na In Cd
8 2 1
Cartesian
0.245 1.713 0.853
1.581 6.132 5.508
4.381 1.503 5.516
3.499 0.826 2.445
4.835 5.245 7.100
0.700 5.455 2.438
2.050 3.224 7.141
3.030 3.734 0.812
3.915 4.303 3.895
1.165 2.655 4.058
2.584 0.000 -0.742
```

The total magnetic moment comes out at 0.00 Bohr magnetons per cell. Its distance to the lowest polymorph of the same formula is 0.000 eV/atom. The calculation puts the total energy at -1.595 eV/atom. The space group is C2/m. For the energy of formation from the pure elements, the calculation gives -0.05 eV/atom.

***

# 6
Material: GaPS2N
Method: DFT, PBE
State: optimized geometry

```
GaPS2N
1.0
-1.971 0.340 4.020
2.810 -3.094 1.639
2.433 2.719 0.963
S Ga P N
2 1 1 1
Cartesian
-0.985 0.170 2.010
1.405 -1.547 0.820
1.636 -0.017 3.311
1.216 1.360 0.481
0.000 0.000 0.000
```

The total magnetic moment comes out at 0.00 Bohr magnetons per cell. Its distance to the lowest polymorph of the same formula is 0.550 eV/atom. The calculation puts the total energy at -4.032 eV/atom. The space group is P4/mmm. The raw formation energy comes out at 22.40 kcal/mol of atoms.

***

# 7
Material: TmMgSiAg
Method: DFT, PBE
State: optimized geometry

```
TmMgSiAg
1.0
-4.129 -0.322 -2.494
0.048 -1.611 -4.558
-1.857 -4.338 -1.050
Si Tm Ag Mg
1 1 1 1
Cartesian
-4.453 -4.703 -6.076
0.000 0.000 0.000
-1.484 -1.568 -2.025
-2.969 -3.135 -4.051
```

The total magnetic moment comes out at 0.00 Bohr magnetons per cell. The calculation puts the total energy at -3.900 eV/atom. The space group is F-43m. The raw formation energy comes out at -7.26 kcal/mol of atoms.

***

# 8
Material: In2Sb2Au
Method: DFT, PBE
State: optimized geometry

```
In2Sb2Au
1.0
7.336 0.000 0.000
0.000 7.336 0.000
0.000 0.000 5.126
In Sb Au
4 4 2
Cartesian
2.506 6.174 0.000
1.162 2.506 0.000
4.830 1.162 0.000
6.174 4.830 0.000
4.683 6.320 2.563
6.320 2.652 2.563
2.652 1.015 2.563
1.015 4.683 2.563
3.668 3.668 0.000
0.000 0.000 0.000
```

The total magnetic moment comes out at 0.00 Bohr magnetons per cell. Its distance to the lowest polymorph of the same formula is 0.089 eV/atom. The calculation puts the total energy at -3.259 eV/atom. The space group is P4/mbm. The raw formation energy comes out at 3.24 kcal/mol of atoms.